Entry from Alexandria via LeMat-Bulk: an optimized crystal structure of Nd2BrF (GGA-PBE).

The density comes out at 5.619 g/cm3. The calculation puts the formation energy (no corrections) at -1718.2 meV/atom. The raw total energy is -4.988 eV per atom. Its total magnetization is 0.00 μB per formula unit.

The structure belongs to space group R-3m (No. 166, hexagonal axes); the cell edges are 3.7599, 3.7599 and 28.0543 Å and the angles 90.00°, 90.00° and 120.00°. The distinct sites, in fractional coordinates, are Nd at (0.0000, 0.0000, 0.0804), Br at (0.0000, 0.0000, 0.5000) and F at (0.0000, 0.0000, 0.0000).